[1]
Entry from the Alexandria database: an optimized crystal structure of RbSiS2N (PBE-GGA).

Calculated values
Energy relative to the elements, uncorrected   2037 meV/atom
ρ   1921 kg/m3
Energy relative to the lowest polymorph listed for this composition   1.9954 eV/atom
DOS at the Fermi energy   1.69 states/eV per cell
Total DFT energy (no corrections)   -12.8 eV for the cell shown

a = 5.7540 Å, b = 5.7540 Å, c = 5.0041 Å
α = 90.00°, β = 90.00°, γ = 90.00°
Closest atoms and distances in Å follow each position.
Sites, in units of the cell vectors:
Rb: 0.0000 0.0000 0.0000  2 N 2.50
Si: 0.5000 0.5000 0.5000  8 S 3.81, 4 N 4.07
S: 0.0000 0.5000 0.0000  2 Rb 2.88
S: 0.5000 0.0000 0.0000  2 Rb 2.88
N: 0.0000 0.0000 0.5000  2 Rb 2.50


[2]
Entry from the Alexandria database: an optimized crystal structure of RbSiSN2 (PBE-GGA).

Calculated values
Energy relative to the elements, uncorrected   690 meV/atom
ρ   3872 kg/m3
Energy relative to the lowest polymorph listed for this composition   0.0000 eV/atom
DOS at the Fermi energy   2.63 states/eV per cell
Total DFT energy (no corrections)   -23.7 eV for the cell shown

a = 3.9480 Å, b = 3.9480 Å, c = 4.7769 Å
α = 90.00°, β = 90.00°, γ = 90.00°
Closest atoms and distances in Å follow each position.
Sites, in units of the cell vectors:
Rb: 0.0000 0.0000 0.0000  4 S 2.79, 8 N 3.10
Si: 0.5000 0.5000 0.5000  4 N 1.97
S: 0.5000 0.5000 0.0000  2 Si 2.39
N: 0.0000 0.5000 0.5000  2 Si 1.97
N: 0.5000 0.0000 0.5000  2 Si 1.97


[3]
Entry from the Alexandria database: an optimized crystal structure of RbSn2SN (PBE-GGA).

Calculated values
Energy relative to the elements, uncorrected   2295 meV/atom
ρ   2864 kg/m3
DOS at the Fermi energy   9.34 states/eV per cell
Total DFT energy (no corrections)   -10.0 eV for the cell shown

a = 6.3086 Å, b = 6.3086 Å, c = 5.3753 Å
α = 90.00°, β = 90.00°, γ = 90.00°
Closest atoms and distances in Å follow each position.
Sites, in units of the cell vectors:
Rb: 0.0000 0.0000 0.0000  2 S 2.69
Sn: 0.0000 0.5000 0.0000  2 Rb 3.15
Sn: 0.5000 0.0000 0.0000  2 Rb 3.15
S: 0.0000 0.0000 0.5000  2 Rb 2.69
N: 0.5000 0.5000 0.5000  8 Sn 4.14, 4 S 4.46


[4]
Entry from the Alexandria database: an optimized crystal structure of RbSrSN2 (PBE-GGA).

Calculated values
Energy relative to the elements, uncorrected   1362 meV/atom
ρ   2910 kg/m3
Energy relative to the lowest polymorph listed for this composition   0.6192 eV/atom
DOS at the Fermi energy   2.04 states/eV per cell
Total DFT energy (no corrections)   -16.6 eV for the cell shown

a = 4.6378 Å, b = 4.6378 Å, c = 6.1857 Å
α = 90.00°, β = 90.00°, γ = 90.00°
Closest atoms and distances in Å follow each position.
Sites, in units of the cell vectors:
Rb: 0.0000 0.0000 0.0000  4 N 2.32
Sr: 0.5000 0.5000 0.5000  4 S 3.28
S: 0.0000 0.0000 0.5000  2 Rb 3.09, 4 Sr 3.28
N: 0.0000 0.5000 0.0000  2 Rb 2.32
N: 0.5000 0.0000 0.0000  2 Rb 2.32


[5]
Entry from the Alexandria database: an optimized crystal structure of RbSrS2N (PBE-GGA).

Calculated values
Energy relative to the elements, uncorrected   649 meV/atom
ρ   2538 kg/m3
Energy relative to the lowest polymorph listed for this composition   0.5488 eV/atom
DOS at the Fermi energy   2.59 states/eV per cell
Total DFT energy (no corrections)   -16.0 eV for the cell shown

a = 5.7509 Å, b = 5.7509 Å, c = 4.9709 Å
α = 90.00°, β = 90.00°, γ = 90.00°
Closest atoms and distances in Å follow each position.
Sites, in units of the cell vectors:
Rb: 0.0000 0.0000 0.0000  2 N 2.49
Sr: 0.5000 0.5000 0.5000  8 S 3.80, 4 N 4.07
S: 0.0000 0.5000 0.0000  2 Rb 2.88
S: 0.5000 0.0000 0.0000  2 Rb 2.88
N: 0.0000 0.0000 0.5000  2 Rb 2.49


[6]
Entry from the Alexandria database: an optimized crystal structure of RbSrSN2 (PBE-GGA).

Calculated values
Energy relative to the elements, uncorrected   743 meV/atom
ρ   2532 kg/m3
Energy relative to the lowest polymorph listed for this composition   0.0000 eV/atom
DOS at the Fermi energy   4.53 states/eV per cell
Total DFT energy (no corrections)   -19.7 eV for the cell shown

a = 5.1281 Å, b = 5.1281 Å, c = 5.8144 Å
α = 90.00°, β = 90.00°, γ = 90.00°
Closest atoms and distances in Å follow each position.
Sites, in units of the cell vectors:
Rb: 0.0000 0.0000 0.0000  4 S 3.63, 8 N 3.88
Sr: 0.5000 0.5000 0.5000  4 N 2.56
S: 0.5000 0.5000 0.0000  2 Sr 2.91
N: 0.0000 0.5000 0.5000  2 Sr 2.56
N: 0.5000 0.0000 0.5000  2 Sr 2.56


- Which of these has the lowest DOS at the Fermi energy?
  RbSiS2N


Repeat the third record exactly.
Entry from the Alexandria database: an optimized crystal structure of RbSn2SN (PBE-GGA).

Calculated values
Energy relative to the elements, uncorrected   2295 meV/atom
ρ   2864 kg/m3
DOS at the Fermi energy   9.34 states/eV per cell
Total DFT energy (no corrections)   -10.0 eV for the cell shown

a = 6.3086 Å, b = 6.3086 Å, c = 5.3753 Å
α = 90.00°, β = 90.00°, γ = 90.00°
Closest atoms and distances in Å follow each position.
Sites, in units of the cell vectors:
Rb: 0.0000 0.0000 0.0000  2 S 2.69
Sn: 0.0000 0.5000 0.0000  2 Rb 3.15
Sn: 0.5000 0.0000 0.0000  2 Rb 3.15
S: 0.0000 0.0000 0.5000  2 Rb 2.69
N: 0.5000 0.5000 0.5000  8 Sn 4.14, 4 S 4.46


- What is the formula in the third record?
  RbSn2SN